Entry 1:
Here is a relaxed NdGdOs4 crystal from Alexandria via LeMat-Bulk. Energies are from PBE.

The value obtained for the calculated density is 15726 kg/m³. Its total DFT energy (no corrections) is -10.773 eV/atom.

a = 7.6558 Å, b = 7.6558 Å, c = 7.6558 Å
α = 90.00°, β = 90.00°, γ = 90.00°
Closest atoms and distances in Å follow each position.
Space group F-43m (No. 216)
Inequivalent atoms, fractional coordinates:
Nd (0.0000, 0.0000, 0.0000) x4  12 Os 3.17, 4 Gd 3.32
Gd (0.2500, 0.2500, 0.2500) x4  12 Os 3.17, 4 Nd 3.32
Os (0.1249, 0.1249, 0.6249) x16  6 Os 2.70-2.71



Entry 2:
Here is a relaxed NdGd2Os crystal from Alexandria via LeMat-Bulk. Energies are from PBE.

The value obtained for the energy above the most stable polymorph in this dataset is 0.225 eV per atom. The value obtained for the calculated density is 10296 kg/m³.

a = 4.7855 Å, b = 4.7855 Å, c = 15.8325 Å
α = 90.00°, β = 90.00°, γ = 120.00°
Closest atoms and distances in Å follow each position.
Space group R-3m (No. 166, hexagonal axes)
Inequivalent atoms, fractional coordinates:
Nd (0.0000, 0.0000, 0.0000) x3  8 Gd 3.24-3.59
Gd (0.0000, 0.0000, 0.2268) x6  3 Os 2.92, 3 Nd 3.24
Os (0.0000, 0.0000, 0.5000) x3  6 Gd 2.92



Entry 3:
Here is a relaxed NdGdOsPt crystal from Alexandria via LeMat-Bulk. Energies are from PBE.

The value obtained for the calculated density is 13061 kg/m³. Its total DFT energy (no corrections) is -9.519 eV/atom.

a = 7.0425 Å, b = 7.0425 Å, c = 7.0425 Å
α = 90.00°, β = 90.00°, γ = 90.00°
Closest atoms and distances in Å follow each position.
Space group F-43m (No. 216)
Inequivalent atoms, fractional coordinates:
Nd (0.0000, 0.0000, 0.0000) x4  4 Pt 3.05, 4 Os 3.05
Gd (0.0000, 0.0000, 0.5000) x4  4 Os 3.05, 4 Pt 3.05
Os (0.2500, 0.2500, 0.7500) x4  4 Gd 3.05, 4 Nd 3.05
Pt (0.2500, 0.2500, 0.2500) x4  4 Gd 3.05, 4 Nd 3.05



Entry 4:
Here is a relaxed NdGdOsRh crystal from Alexandria via LeMat-Bulk. Energies are from PBE.

The value obtained for the calculated density is 11603 kg/m³. Its total DFT energy (no corrections) is -9.642 eV/atom.

a = 6.9823 Å, b = 6.9823 Å, c = 6.9823 Å
α = 90.00°, β = 90.00°, γ = 90.00°
Closest atoms and distances in Å follow each position.
Space group F-43m (No. 216)
Inequivalent atoms, fractional coordinates:
Nd (0.0000, 0.0000, 0.0000) x4  4 Os 3.02, 4 Rh 3.02
Gd (0.0000, 0.0000, 0.5000) x4  4 Os 3.02, 4 Rh 3.02
Os (0.2500, 0.2500, 0.2500) x4  4 Gd 3.02, 4 Nd 3.02
Rh (0.2500, 0.2500, 0.7500) x4  4 Gd 3.02, 4 Nd 3.02



Entry 5:
Here is a relaxed NdGdZnOs crystal from Alexandria via LeMat-Bulk. Energies are from PBE.

The value obtained for the calculated density is 10357 kg/m³. Its total DFT energy (no corrections) is -8.000 eV/atom.

a = 7.0959 Å, b = 7.0959 Å, c = 7.0959 Å
α = 90.00°, β = 90.00°, γ = 90.00°
Closest atoms and distances in Å follow each position.
Space group F-43m (No. 216)
Inequivalent atoms, fractional coordinates:
Nd (0.0000, 0.0000, 0.0000) x4  4 Os 3.07, 4 Zn 3.07
Gd (0.0000, 0.0000, 0.5000) x4  4 Zn 3.07, 4 Os 3.07
Zn (0.2500, 0.2500, 0.7500) x4  4 Nd 3.07, 4 Gd 3.07
Os (0.2500, 0.2500, 0.2500) x4  4 Gd 3.07, 4 Nd 3.07



Entry 6:
Here is a relaxed NdGdP crystal from Alexandria via LeMat-Bulk. Energies are from PBE.

The value obtained for the energy above the most stable polymorph in this dataset is 0.103 eV per atom. The value obtained for the calculated density is 6979 kg/m³.

a = 6.8145 Å, b = 6.8145 Å, c = 6.8145 Å
α = 90.00°, β = 90.00°, γ = 90.00°
Closest atoms and distances in Å follow each position.
Space group F-43m (No. 216)
Inequivalent atoms, fractional coordinates:
Nd (0.0000, 0.0000, 0.0000) x4  4 P 2.95
Gd (0.0000, 0.0000, 0.5000) x4  4 P 2.95
P (0.2500, 0.2500, 0.7500) x4  4 Gd 2.95, 4 Nd 2.95



Entry 7:
Here is a relaxed NdGdP2 crystal from Alexandria via LeMat-Bulk. Energies are from PBE.

The value obtained for the calculated density is 6139 kg/m³. Its total DFT energy (no corrections) is -8.980 eV/atom.

a = 4.1138 Å, b = 4.1138 Å, c = 20.1222 Å
α = 90.00°, β = 90.00°, γ = 120.00°
Closest atoms and distances in Å follow each position.
Space group R-3m (No. 166, hexagonal axes)
Inequivalent atoms, fractional coordinates:
Nd (0.0000, 0.0000, 0.0000) x3  6 P 2.94
Gd (0.0000, 0.0000, 0.5000) x3  6 P 2.88
P (0.0000, 0.0000, 0.2475) x6  3 Gd 2.88, 3 Nd 2.94



Entry 8:
Here is a relaxed NdGd2P crystal from Alexandria via LeMat-Bulk. Energies are from PBE.

The value obtained for the calculated density is 6377 kg/m³. Its total DFT energy (no corrections) is -10.142 eV/atom.

a = 3.7799 Å, b = 3.7799 Å, c = 30.9192 Å
α = 90.00°, β = 90.00°, γ = 120.00°
Closest atoms and distances in Å follow each position.
Space group R-3m (No. 166, hexagonal axes)
Inequivalent atoms, fractional coordinates:
Nd (0.0000, 0.0000, 0.0000) x3  2 Gd 3.50, 6 Nd 3.78
Gd (0.0000, 0.0000, 0.1133) x6  3 P 2.74
P (0.0000, 0.0000, 0.5000) x3  6 Gd 2.74